DFT (GGA-PBE) results for a geometry-optimized MgFe3Cu structure.

The space group is Pm-3m (No. 221) and the conventional cell measures 4.411, 4.411 and 4.411 Å, with angles of 90.00, 90.00 and 90.00 degrees. The inequivalent atoms are Mg at (0.000, 0.000, 0.000), Fe at (0.000, 0.500, 0.500) and Cu at (0.500, 0.500, 0.500).

The calculation puts the energy above the most stable polymorph in this dataset at 0 meV/atom. The formation enthalpy at 0 K is 953.5 meV/atom. The calculation puts the raw total energy at -5.26 eV/atom.

DFT (GGA-PBE) results for a geometry-optimized MgFeCu2 structure.

The space group is Cm (No. 8) and the conventional cell measures 9.019, 2.710 and 4.558 Å, with angles of 90.00, 103.88 and 90.00 degrees. The inequivalent atoms are Mg at (0.000, 0.000, 0.000), Fe at (0.265, 0.500, 0.301), Cu at (0.009, 0.500, 0.503) and Cu at (0.244, 0.000, 0.775).

The formation enthalpy at 0 K is 149.2 meV/atom. The calculation puts the raw total energy at -4.41 eV/atom.

DFT (GGA-PBE) results for a geometry-optimized MgFeCu structure.

The space group is F-43m (No. 216) and the conventional cell measures 5.854, 5.854 and 5.854 Å, with angles of 90.00, 90.00 and 90.00 degrees. The inequivalent atoms are Mg at (0.000, 0.000, 0.000), Fe at (0.000, 0.000, 0.500) and Cu at (0.250, 0.250, 0.750).

The calculation puts the energy above the most stable polymorph in this dataset at 320 meV/atom. The formation enthalpy at 0 K is 465.1 meV/atom. The calculation puts the raw total energy at -4.25 eV/atom.

DFT (GGA-PBE) results for a geometry-optimized MgFeCu2 structure.

The space group is I-4m2 (No. 119) and the conventional cell measures 3.833, 3.833 and 7.314 Å, with angles of 90.00, 90.00 and 90.00 degrees. The inequivalent atoms are Mg at (0.000, 0.000, 0.000), Fe at (0.000, 0.500, 0.250), Cu at (0.000, 0.000, 0.500) and Cu at (0.000, 0.500, 0.750).

The formation enthalpy at 0 K is 172.6 meV/atom. The calculation puts the raw total energy at -4.39 eV/atom.

DFT (GGA-PBE) results for a geometry-optimized MgFeCu2 structure.

The space group is C2/m (No. 12) and the conventional cell measures 8.623, 2.645 and 4.814 Å, with angles of 90.00, 98.68 and 90.00 degrees. The inequivalent atoms are Mg at (0.000, 0.000, 0.000), Fe at (0.000, 0.500, 0.500) and Cu at (0.244, 0.000, 0.729).

The formation enthalpy at 0 K is 170.2 meV/atom. The calculation puts the raw total energy at -4.39 eV/atom.

DFT (GGA-PBE) results for a geometry-optimized MgFe2Cu structure.

The space group is Pmm2 (No. 25) and the conventional cell measures 2.974, 3.014 and 6.086 Å, with angles of 90.00, 90.00 and 90.00 degrees. The inequivalent atoms are Mg at (0.000, 0.000, 0.000), Fe at (0.000, 0.000, 0.519), Fe at (0.500, 0.500, 0.709) and Cu at (0.500, 0.500, 0.277).

The formation enthalpy at 0 K is 135.1 meV/atom. The calculation puts the raw total energy at -5.52 eV/atom.

DFT (GGA-PBE) results for a geometry-optimized MgFe2Cu structure.

The space group is I4/mmm (No. 139) and the conventional cell measures 3.614, 3.614 and 8.064 Å, with angles of 90.00, 90.00 and 90.00 degrees. The inequivalent atoms are Mg at (0.000, 0.000, 0.000), Fe at (0.000, 0.500, 0.250) and Cu at (0.000, 0.000, 0.500).

The formation enthalpy at 0 K is 163.0 meV/atom. The calculation puts the raw total energy at -5.49 eV/atom.

DFT (GGA-PBE) results for a geometry-optimized Mg4FeCu structure.

The space group is F-43m (No. 216) and the conventional cell measures 7.760, 7.760 and 7.760 Å, with angles of 90.00, 90.00 and 90.00 degrees. The inequivalent atoms are Mg at (0.125, 0.125, 0.125), Fe at (0.000, 0.000, 0.500) and Cu at (0.250, 0.250, 0.750).

The formation enthalpy at 0 K is 563.1 meV/atom. The calculation puts the raw total energy at -2.59 eV/atom.

DFT (GGA-PBE) results for a geometry-optimized MgFeCu2 structure.

The space group is Pmm2 (No. 25) and the conventional cell measures 2.740, 4.361 and 4.497 Å, with angles of 90.00, 90.00 and 90.00 degrees. The inequivalent atoms are Mg at (0.000, 0.000, 0.000), Fe at (0.000, 0.500, 0.397), Cu at (0.500, 0.000, 0.501) and Cu at (0.500, 0.500, 0.877).

The formation enthalpy at 0 K is 133.1 meV/atom. The calculation puts the raw total energy at -4.43 eV/atom.

DFT (GGA-PBE) results for a geometry-optimized MgFeCu4 structure.

The space group is F-43m (No. 216) and the conventional cell measures 6.863, 6.863 and 6.863 Å, with angles of 90.00, 90.00 and 90.00 degrees. The inequivalent atoms are Mg at (0.000, 0.000, 0.000), Fe at (0.250, 0.250, 0.250) and Cu at (0.125, 0.125, 0.625).

The formation enthalpy at 0 K is 107.6 meV/atom. The calculation puts the raw total energy at -4.30 eV/atom.

DFT (GGA-PBE) results for a geometry-optimized MgFeCu2 structure.

The space group is I-42d (No. 122) and the conventional cell measures 3.639, 3.639 and 17.807 Å, with angles of 90.00, 90.00 and 90.00 degrees. The inequivalent atoms are Mg at (0.000, 0.000, 0.000), Fe at (0.000, 0.000, 0.500) and Cu at (0.238, 0.250, 0.625).

The formation enthalpy at 0 K is 482.7 meV/atom. The calculation puts the raw total energy at -4.08 eV/atom.

DFT (GGA-PBE) results for a geometry-optimized MgFe2Cu structure.

The space group is I-42d (No. 122) and the conventional cell measures 6.866, 6.866 and 4.999 Å, with angles of 90.00, 90.00 and 90.00 degrees. The inequivalent atoms are Mg at (0.000, 0.000, 0.000), Fe at (0.222, 0.250, 0.625) and Cu at (0.000, 0.000, 0.500).

The formation enthalpy at 0 K is 550.3 meV/atom. The calculation puts the raw total energy at -5.10 eV/atom.

Please write out number 1 again, unchanged.
DFT (GGA-PBE) results for a geometry-optimized MgFe3Cu structure.

The space group is Pm-3m (No. 221) and the conventional cell measures 4.411, 4.411 and 4.411 Å, with angles of 90.00, 90.00 and 90.00 degrees. The inequivalent atoms are Mg at (0.000, 0.000, 0.000), Fe at (0.000, 0.500, 0.500) and Cu at (0.500, 0.500, 0.500).

The calculation puts the energy above the most stable polymorph in this dataset at 0 meV/atom. The formation enthalpy at 0 K is 953.5 meV/atom. The calculation puts the raw total energy at -5.26 eV/atom.

Question: Look up the formation enthalpy at 0 K of the third one.
Answer: 465.1 meV/atom

Question: The lowest raw total energy belongs to which entry?
Answer: number 6

Question: The highest raw total energy belongs to which entry?
Answer: Mg4FeCu